DFT (PBE) results for K3Pu2F8 after structural relaxation.

Cell lengths 4.163, 8.342, 7.607 Å; angles 123.25, 90.00, 90.00 degrees
Site moments in Bohr magnetons follow the coordinates.
Fractional coordinates of all 13 atoms:
K  0.500  0.000  0.000  0.01
K  0.000  0.284  0.000  0.00
K  0.000  0.716  0.000  0.00
Pu  0.500  0.256  0.513  5.45
Pu  0.500  0.744  0.487  5.45
F  0.000  0.645  0.289  -0.01
F  0.000  0.355  0.711  -0.01
F  0.000  0.133  0.267  -0.01
F  0.000  0.867  0.733  -0.01
F  0.500  0.614  0.723  -0.01
F  0.500  0.110  0.723  -0.01
F  0.500  0.890  0.277  -0.01
F  0.500  0.386  0.277  -0.01

DOS(E_F), states/eV/atom: 1.345
ρ, g/cm³: 5.69
Energy relative to the elements, uncorrected, eV per formula unit: -40.13

DFT (PBE) results for Mn4ZnPt5 after structural relaxation.

Cell lengths 2.922, 2.922, 17.576 Å; angles 90.00, 90.00, 90.00 degrees
Site moments in Bohr magnetons follow the coordinates.
Fractional coordinates of all 10 atoms:
Mn  0.000  0.000  0.198  3.78
Mn  0.000  0.000  0.400  3.78
Mn  0.000  0.000  0.600  3.78
Mn  0.000  0.000  0.802  3.78
Zn  0.000  0.000  0.000  -0.02
Pt  0.500  0.500  0.099  0.18
Pt  0.500  0.500  0.299  0.36
Pt  0.500  0.500  0.500  0.39
Pt  0.500  0.500  0.701  0.36
Pt  0.500  0.500  0.901  0.18

DOS(E_F), states/eV/atom: 0.484
ΔH_f (0 K), eV per atom: -0.40
ρ, g/cm³: 13.95